# 1
Material: Ta2TlCo
Method: DFT, GGA-PBE
State: relaxed

abc: 2.942 2.942 8.000
angles: 90.00 90.00 90.00
Last column: magnetic moment on the atom in μB.
Fractional coordinates of all 4 atoms:
Co: 0.500 0.500 0.750  0.34
Tl: 0.500 0.500 0.250  0.00
Ta: 0.000 0.000 0.547  0.00
Ta: 0.000 0.000 0.953  0.00

Computed properties:
Its crystal system is tetragonal. The space-group type is P4/mmm, No. 123. The energy relative to the lowest polymorph listed for this composition comes out at 4.8 meV/atom.

***

# 2
Material: Ta4TlCo
Method: DFT, GGA-PBE
State: relaxed

abc: 5.454 5.454 5.454
angles: 60.00 60.00 60.00
Last column: magnetic moment on the atom in μB.
Fractional coordinates of all 6 atoms:
Ta: 0.375 0.875 0.375  -0.06
Ta: 0.875 0.375 0.375  -0.06
Ta: 0.375 0.375 0.375  -0.06
Ta: 0.375 0.375 0.875  -0.06
Co: 0.000 0.000 0.000  1.21
Tl: 0.750 0.750 0.750  0.00

Computed properties:
Its crystal system is cubic. The space-group type is F-43m, No. 216.

***

# 3
Material: TaTl2Co
Method: DFT, GGA-PBE
State: relaxed

abc: 5.191 5.191 3.038
angles: 90.00 90.00 108.82
Last column: magnetic moment on the atom in μB.
Fractional coordinates of all 4 atoms:
Tl: 0.000 0.000 0.000  0.00
Tl: 0.500 0.500 0.000  0.00
Ta: 0.000 0.500 0.500  0.20
Co: 0.500 0.000 0.500  1.63

Computed properties:
Its crystal system is orthorhombic. The space-group type is Cmmm, No. 65.

***

# 4
Material: TaTlCo
Method: DFT, GGA-PBE
State: relaxed

abc: 3.276 3.276 6.166
angles: 90.00 90.00 120.00
Fractional coordinates of all 3 atoms:
Ta: 0.667 0.333 0.272
Co: 0.000 0.000 0.040
Tl: 0.333 0.667 0.687

Computed properties:
Its crystal system is trigonal. The space-group type is P3m1, No. 156.

***

# 5
Material: Ta2TlCo
Method: DFT, GGA-PBE
State: relaxed

abc: 3.948 3.075 6.122
angles: 75.53 90.00 90.00
Last column: magnetic moment on the atom in μB.
Fractional coordinates of all 4 atoms:
Co: 0.500 0.534 0.805  0.45
Tl: 0.000 0.687 0.504  0.00
Ta: 0.500 0.326 0.222  0.01
Ta: 0.000 0.953 0.969  0.00

Computed properties:
Its crystal system is monoclinic. The space-group type is Pm, No. 6. The energy relative to the lowest polymorph listed for this composition comes out at 101.2 meV/atom.

***

# 6
Material: TaTl2Co
Method: DFT, GGA-PBE
State: relaxed

abc: 3.142 3.142 7.494
angles: 90.00 90.00 90.00
Last column: magnetic moment on the atom in μB.
Fractional coordinates of all 4 atoms:
Ta: 0.500 0.500 0.750  -0.03
Tl: 0.000 0.000 0.470  -0.02
Tl: 0.000 0.000 0.030  -0.02
Co: 0.500 0.500 0.250  0.81

Computed properties:
Its crystal system is tetragonal. The space-group type is P4/mmm, No. 123.

***

# 7
Material: TaTl2Co
Method: DFT, GGA-PBE
State: relaxed

abc: 3.179 3.158 8.525
angles: 79.36 90.00 90.00
Fractional coordinates of all 4 atoms:
Tl: 0.500 0.033 0.304
Tl: 0.000 0.209 0.959
Co: 0.000 0.413 0.551
Ta: 0.500 0.846 0.685

Computed properties:
Its crystal system is monoclinic. The space-group type is Pm, No. 6.

***

# 8
Material: TaTlCo
Method: DFT, GGA-PBE
State: relaxed

abc: 4.278 4.278 4.278
angles: 60.00 60.00 60.00
Last column: magnetic moment on the atom in μB.
Fractional coordinates of all 3 atoms:
Ta: 0.000 0.000 0.000  0.12
Tl: 0.500 0.500 0.500  0.05
Co: 0.750 0.750 0.750  0.51

Computed properties:
Its crystal system is cubic. The space-group type is F-43m, No. 216.

***

# 9
Material: TaTl2Co
Method: DFT, GGA-PBE
State: relaxed

abc: 5.291 5.291 5.291
angles: 133.11 133.11 68.48
Last column: magnetic moment on the atom in μB.
Fractional coordinates of all 4 atoms:
Tl: 0.000 0.000 0.000  0.04
Tl: 0.500 0.500 0.000  0.04
Co: 0.250 0.750 0.500  1.74
Ta: 0.750 0.250 0.500  0.68

Computed properties:
Its crystal system is tetragonal. The space-group type is I4/mmm, No. 139.

***

# 10
Material: TaTl2Co
Method: DFT, GGA-PBE
State: relaxed

abc: 7.510 7.510 6.025
angles: 51.44 51.44 90.00
Fractional coordinates of all 8 atoms:
Ta: 0.000 0.000 0.000
Ta: 0.750 0.250 0.500
Tl: 0.161 0.625 0.250
Tl: 0.875 0.839 0.750
Tl: 0.589 0.125 0.250
Tl: 0.375 0.411 0.750
Co: 0.500 0.500 0.000
Co: 0.250 0.750 0.500

Computed properties:
Its crystal system is tetragonal. The space-group type is I-42d, No. 122.

***

# 11
Material: TaTl2Co
Method: DFT, GGA-PBE
State: relaxed

abc: 3.104 3.104 9.368
angles: 90.00 90.00 118.91
Last column: magnetic moment on the atom in μB.
Fractional coordinates of all 4 atoms:
Co: 0.500 0.500 0.250  1.42
Ta: 0.500 0.500 0.750  0.03
Tl: 0.000 0.000 0.479  -0.02
Tl: 0.000 0.000 0.021  -0.02

Computed properties:
Its crystal system is orthorhombic. The space-group type is Cmmm, No. 65.

***

# 12
Material: TaTl2Co
Method: DFT, GGA-PBE
State: relaxed

abc: 4.468 3.084 5.654
angles: 82.00 90.00 90.00
Last column: magnetic moment on the atom in μB.
Fractional coordinates of all 4 atoms:
Tl: 0.000 0.419 0.489  -0.01
Tl: 0.000 0.081 0.011  -0.01
Ta: 0.500 0.750 0.750  -0.07
Co: 0.500 0.250 0.250  1.13

Computed properties:
Its crystal system is monoclinic. The space-group type is P2/m, No. 10.

***

# 13
Material: Ta2TlCo
Method: DFT, GGA-PBE
State: relaxed

abc: 9.333 9.333 9.333
angles: 18.47 18.47 18.47
Last column: magnetic moment on the atom in μB.
Fractional coordinates of all 4 atoms:
Ta: 0.489 0.489 0.489  -0.01
Ta: 0.011 0.011 0.011  -0.01
Tl: 0.250 0.250 0.250  0.00
Co: 0.750 0.750 0.750  0.67

Computed properties:
Its crystal system is trigonal. The space-group type is R-3m, No. 166. The energy relative to the lowest polymorph listed for this composition comes out at 238.6 meV/atom.

***

# 14
Material: YTaTlCo2
Method: DFT, GGA-PBE
State: relaxed

abc: 4.493 5.464 4.493
angles: 90.00 90.00 90.00
Last column: magnetic moment on the atom in μB.
Fractional coordinates of all 5 atoms:
Y: 0.000 0.000 0.000  -0.15
Ta: 0.500 0.500 0.500  0.16
Tl: 0.000 0.500 0.000  -0.01
Co: 0.500 0.000 0.000  0.94
Co: 0.000 0.000 0.500  0.89

Computed properties:
Its crystal system is tetragonal. The space-group type is P4/mmm, No. 123.

***

# 15
Material: TmTaCo2
Method: DFT, GGA-PBE
State: relaxed

abc: 4.181 4.181 5.085
angles: 65.72 65.72 60.00
Fractional coordinates of all 4 atoms:
Ta: 0.500 0.500 0.500
Co: 0.785 0.785 0.645
Co: 0.215 0.215 0.355
Tm: 0.000 0.000 0.000

Computed properties:
Its crystal system is trigonal. The space-group type is R-3m, No. 166. The energy relative to the lowest polymorph listed for this composition comes out at 84.1 meV/atom.

***

# 16
Material: Tm2TaCo2
Method: DFT, GGA-PBE
State: relaxed

abc: 3.901 5.549 5.550
angles: 58.41 69.42 69.42
Fractional coordinates of all 5 atoms:
Tm: 0.705 0.795 0.295
Tm: 0.295 0.205 0.705
Ta: 0.500 0.500 0.000
Co: 0.000 0.219 0.281
Co: 0.000 0.781 0.719

Computed properties:
Its crystal system is orthorhombic. The space-group type is Immm, No. 71.

***

# 17
Material: TmTa2Co9
Method: DFT, GGA-PBE
State: relaxed

abc: 4.794 4.794 8.273
angles: 73.16 73.16 60.00
Last column: magnetic moment on the atom in μB.
Fractional coordinates of all 12 atoms:
Co: 0.589 0.589 0.742  0.91
Co: 0.920 0.411 0.258  0.91
Co: 0.080 0.589 0.742  0.91
Co: 0.411 0.920 0.258  0.91
Co: 0.411 0.411 0.258  0.91
Co: 0.335 0.335 0.994  1.41
Co: 0.500 0.500 0.500  0.82
Co: 0.589 0.080 0.742  0.91
Co: 0.665 0.665 0.006  1.41
Tm: 0.000 0.000 0.000  -0.20
Ta: 0.859 0.859 0.422  -0.27
Ta: 0.141 0.141 0.578  -0.27

Computed properties:
Its crystal system is trigonal. The space-group type is R-3m, No. 166.

***

# 18
Material: TmTaCo2
Method: DFT, GGA-PBE
State: relaxed

abc: 4.472 4.472 4.472
angles: 60.00 60.00 60.00
Last column: magnetic moment on the atom in μB.
Fractional coordinates of all 4 atoms:
Co: 0.750 0.750 0.750  0.62
Co: 0.250 0.250 0.250  0.62
Tm: 0.000 0.000 0.000  -0.09
Ta: 0.500 0.500 0.500  -0.06

Computed properties:
Its crystal system is cubic. The space-group type is Fm-3m, No. 225. The energy relative to the lowest polymorph listed for this composition comes out at 128.3 meV/atom.

***

# 19
Material: TmTaCo2
Method: DFT, GGA-PBE
State: relaxed

abc: 3.045 4.550 4.550
angles: 90.00 90.00 90.00
Last column: magnetic moment on the atom in μB.
Fractional coordinates of all 4 atoms:
Co: 0.000 0.500 0.000  0.71
Co: 0.000 0.000 0.500  0.71
Tm: 0.500 0.500 0.500  -0.17
Ta: 0.500 0.000 0.000  0.02

Computed properties:
Its crystal system is tetragonal. The space-group type is P4/mmm, No. 123. The energy relative to the lowest polymorph listed for this composition comes out at 110.1 meV/atom.

***

# 20
Material: TmTaCo2
Method: DFT, GGA-PBE
State: relaxed

abc: 3.103 3.103 6.686
angles: 90.00 90.00 90.00
Fractional coordinates of all 4 atoms:
Ta: 0.500 0.500 0.000
Tm: 0.500 0.500 0.500
Co: 0.000 0.000 0.795
Co: 0.000 0.000 0.205

Computed properties:
Its crystal system is tetragonal. The space-group type is P4/mmm, No. 123. The energy relative to the lowest polymorph listed for this composition comes out at 0.0 meV/atom.

***

Number 1: spin magnetization 0.325 μB per cell, calculated total energy -8.064 eV/atom. Number 2: spin magnetization 0.755 μB per cell, calculated total energy -8.789 eV/atom. Number 3: spin magnetization 1.886 μB per cell, calculated total energy -5.184 eV/atom. Number 4: spin magnetization 0.000 μB per cell, calculated total energy -6.719 eV/atom. Number 5: spin magnetization 0.470 μB per cell, calculated total energy -7.968 eV/atom. Number 6: spin magnetization 0.682 μB per cell, calculated total energy -5.252 eV/atom. Number 7: spin magnetization 0.000 μB per cell, calculated total energy -5.627 eV/atom. Number 8: spin magnetization 0.818 μB per cell, calculated total energy -6.697 eV/atom. Number 9: spin magnetization 2.821 μB per cell, calculated total energy -5.093 eV/atom. Number 10: spin magnetization 0.000 μB per cell, calculated total energy -5.005 eV/atom. Number 11: spin magnetization 1.383 μB per cell, calculated total energy -5.237 eV/atom. Number 12: spin magnetization 0.946 μB per cell, calculated total energy -5.193 eV/atom. Number 13: spin magnetization 0.630 μB per cell, calculated total energy -7.831 eV/atom. Number 14: spin magnetization 1.837 μB per cell, calculated total energy -5.184 eV/atom. Number 15: spin magnetization 0.000 μB per cell, calculated total energy -7.754 eV/atom. Number 16: spin magnetization 0.000 μB per cell, calculated total energy -7.239 eV/atom. Number 17: spin magnetization 8.082 μB per cell, calculated total energy -7.861 eV/atom. Number 18: spin magnetization 1.054 μB per cell, calculated total energy -7.710 eV/atom. Number 19: spin magnetization 1.270 μB per cell, calculated total energy -7.728 eV/atom. Number 20: spin magnetization 0.003 μB per cell, calculated total energy -7.838 eV/atom.